[1]
The following is a PBE calculation of a geometry-optimized MgMn4Bi2 structure, from the Alexandria database.

Calculated values
Size of the total moment   2.22 μB/atom
Total DFT energy (no corrections)   -0.4227 Ry/atom
Formation enthalpy at 0 K   0.8251 eV per atom
Symmetry   I4/mmm

Cell lengths 7.974, 7.974, 7.974 Å; angles 145.46, 145.46, 49.65 degrees
Positions (direct):
Mg: 0.000 0.000 0.000
Mn: 0.000 0.500 0.500
Mn: 0.176 0.176 0.000
Mn: 0.500 0.000 0.500
Mn: 0.824 0.824 0.000
Bi: 0.369 0.369 0.000
Bi: 0.631 0.631 0.000

***

[2]
The following is a PBE calculation of a geometry-optimized MgMnBi2 structure, from the Alexandria database.

Calculated values
Size of the total moment   0.66 μB/atom
Total DFT energy (no corrections)   -0.3216 Ry/atom
Formation enthalpy at 0 K   0.2558 eV per atom
Symmetry   R-3m

Cell lengths 10.380, 10.380, 10.380 Å; angles 19.42, 19.42, 19.42 degrees
Positions (direct):
Mg: 0.000 0.000 0.000
Mn: 0.500 0.500 0.500
Bi: 0.102 0.102 0.102
Bi: 0.898 0.898 0.898

***

Q: size of the total moment of number 1 (MgMn4Bi2)?
A: 2.22 μB/atom

***

Q: Which of these has the highest formation enthalpy at 0 K?
A: MgMn4Bi2